[1]
This record from the Alexandria database describes an optimized crystal structure of Na2PdCl2. The functional is GGA-PBE.

Calculated values
SG	P4/mbm (127)
offset from the most stable computed form	0	meV per atom

```
data_Na2PdCl2
_space_group_name_H-M_alt 'P 1'
_space_group_IT_number 1
_cell_length_a 7.760
_cell_length_b 7.760
_cell_length_c 3.429
_cell_angle_alpha 90.00
_cell_angle_beta 90.00
_cell_angle_gamma 90.00
loop_
_space_group_symop_operation_xyz
'x,y,z'
loop_
_atom_site_label
_atom_site_fract_x
_atom_site_fract_y
_atom_site_fract_z
Na1 0.357 0.857 0.000
Na2 0.857 0.643 0.000
Na3 0.643 0.143 0.000
Na4 0.143 0.357 0.000
Pd1 0.000 0.000 0.000
Pd2 0.500 0.500 0.000
Cl1 0.161 0.661 0.500
Cl2 0.661 0.839 0.500
Cl3 0.839 0.339 0.500
Cl4 0.339 0.161 0.500
```



[2]
This record from the Alexandria database describes an optimized crystal structure of NaPdCl6. The functional is GGA-PBE.

Calculated values
SG	C2/c (15)
offset from the most stable computed form	0	meV per atom

```
data_NaPdCl6
_space_group_name_H-M_alt 'P 1'
_space_group_IT_number 1
_cell_length_a 7.568
_cell_length_b 7.568
_cell_length_c 8.341
_cell_angle_alpha 82.53
_cell_angle_beta 82.53
_cell_angle_gamma 95.40
loop_
_space_group_symop_operation_xyz
'x,y,z'
loop_
_atom_site_label
_atom_site_fract_x
_atom_site_fract_y
_atom_site_fract_z
Na1 0.897 0.103 0.250
Na2 0.103 0.897 0.750
Pd1 0.000 0.500 0.500
Pd2 0.500 0.000 0.000
Cl1 0.300 0.608 0.404
Cl2 0.700 0.392 0.596
Cl3 0.392 0.700 0.096
Cl4 0.608 0.300 0.904
Cl5 0.905 0.485 0.244
Cl6 0.095 0.515 0.756
Cl7 0.515 0.095 0.256
Cl8 0.485 0.905 0.744
Cl9 0.204 0.074 0.004
Cl10 0.796 0.926 0.996
Cl11 0.926 0.796 0.496
Cl12 0.074 0.204 0.504
```



[3]
This record from the Alexandria database describes an optimized crystal structure of Na2PdCl2. The functional is GGA-PBE.

Calculated values
SG	I4/mmm (139)
offset from the most stable computed form	126	meV per atom

```
data_Na2PdCl2
_space_group_name_H-M_alt 'P 1'
_space_group_IT_number 1
_cell_length_a 5.269
_cell_length_b 5.269
_cell_length_c 5.962
_cell_angle_alpha 63.78
_cell_angle_beta 63.78
_cell_angle_gamma 90.00
loop_
_space_group_symop_operation_xyz
'x,y,z'
loop_
_atom_site_label
_atom_site_fract_x
_atom_site_fract_y
_atom_site_fract_z
Na1 0.311 0.311 0.378
Na2 0.689 0.689 0.622
Pd1 0.000 0.000 0.000
Cl1 0.750 0.250 0.500
Cl2 0.250 0.750 0.500
```



[4]
This record from the Alexandria database describes an optimized crystal structure of Na2Pd2Cl7. The functional is GGA-PBE.

Calculated values
SG	C2/m (12)
offset from the most stable computed form	103	meV per atom

```
data_Na2Pd2Cl7
_space_group_name_H-M_alt 'P 1'
_space_group_IT_number 1
_cell_length_a 7.335
_cell_length_b 7.025
_cell_length_c 7.025
_cell_angle_alpha 111.95
_cell_angle_beta 91.28
_cell_angle_gamma 91.28
loop_
_space_group_symop_operation_xyz
'x,y,z'
loop_
_atom_site_label
_atom_site_fract_x
_atom_site_fract_y
_atom_site_fract_z
Na1 0.500 0.307 0.693
Na2 0.500 0.693 0.307
Pd1 0.889 0.283 0.283
Pd2 0.111 0.717 0.717
Cl1 0.317 0.939 0.631
Cl2 0.683 0.369 0.061
Cl3 0.683 0.061 0.369
Cl4 0.317 0.631 0.939
Cl5 0.000 0.000 0.000
Cl6 0.794 0.576 0.576
Cl7 0.206 0.424 0.424
```



[5]
This record from the Alexandria database describes an optimized crystal structure of Na2Pd2Cl7. The functional is GGA-PBE.

Calculated values
SG	P2_1/c (14)
offset from the most stable computed form	0	meV per atom

```
data_Na2Pd2Cl7
_space_group_name_H-M_alt 'P 1'
_space_group_IT_number 1
_cell_length_a 6.564
_cell_length_b 6.516
_cell_length_c 13.631
_cell_angle_alpha 90.00
_cell_angle_beta 90.00
_cell_angle_gamma 82.17
loop_
_space_group_symop_operation_xyz
'x,y,z'
loop_
_atom_site_label
_atom_site_fract_x
_atom_site_fract_y
_atom_site_fract_z
Na1 0.745 0.792 0.101
Na2 0.255 0.708 0.601
Na3 0.255 0.208 0.899
Na4 0.745 0.292 0.399
Pd1 0.813 0.627 0.822
Pd2 0.187 0.373 0.178
Pd3 0.813 0.127 0.678
Pd4 0.187 0.873 0.322
Cl1 0.000 0.000 0.500
Cl2 0.000 0.500 0.000
Cl3 0.413 0.150 0.085
Cl4 0.587 0.350 0.585
Cl5 0.587 0.850 0.915
Cl6 0.413 0.650 0.415
Cl7 0.026 0.393 0.718
Cl8 0.026 0.893 0.782
Cl9 0.974 0.107 0.218
Cl10 0.974 0.607 0.282
Cl11 0.615 0.865 0.654
Cl12 0.615 0.365 0.846
Cl13 0.385 0.635 0.154
Cl14 0.385 0.135 0.346
```



[6]
This record from the Alexandria database describes an optimized crystal structure of Na2PdCl4. The functional is GGA-PBE.

Calculated values
SG	I-42m (121)
offset from the most stable computed form	28	meV per atom

```
data_Na2PdCl4
_space_group_name_H-M_alt 'P 1'
_space_group_IT_number 1
_cell_length_a 6.821
_cell_length_b 6.821
_cell_length_c 6.107
_cell_angle_alpha 123.95
_cell_angle_beta 123.95
_cell_angle_gamma 90.00
loop_
_space_group_symop_operation_xyz
'x,y,z'
loop_
_atom_site_label
_atom_site_fract_x
_atom_site_fract_y
_atom_site_fract_z
Na1 0.750 0.250 0.500
Na2 0.250 0.750 0.500
Pd1 0.500 0.500 0.000
Cl1 0.741 0.260 0.001
Cl2 0.260 0.741 0.001
Cl3 0.740 0.740 0.999
Cl4 0.259 0.259 0.999
```



[7]
This record from the Alexandria database describes an optimized crystal structure of NaPd3Cl. The functional is GGA-PBE.

Calculated values
SG	Pm-3m (221)
offset from the most stable computed form	0	meV per atom

```
data_NaPd3Cl
_space_group_name_H-M_alt 'P 1'
_space_group_IT_number 1
_cell_length_a 4.636
_cell_length_b 4.636
_cell_length_c 4.636
_cell_angle_alpha 90.00
_cell_angle_beta 90.00
_cell_angle_gamma 90.00
loop_
_space_group_symop_operation_xyz
'x,y,z'
loop_
_atom_site_label
_atom_site_fract_x
_atom_site_fract_y
_atom_site_fract_z
Na1 0.500 0.500 0.500
Pd1 0.000 0.500 0.000
Pd2 0.000 0.000 0.500
Pd3 0.500 0.000 0.000
Cl1 0.000 0.000 0.000
```



[8]
This record from the Alexandria database describes an optimized crystal structure of Na4PdCl5. The functional is GGA-PBE.

Calculated values
SG	I4/m (87)

```
data_Na4PdCl5
_space_group_name_H-M_alt 'P 1'
_space_group_IT_number 1
_cell_length_a 5.602
_cell_length_b 6.878
_cell_length_c 6.878
_cell_angle_alpha 80.45
_cell_angle_beta 65.97
_cell_angle_gamma 65.97
loop_
_space_group_symop_operation_xyz
'x,y,z'
loop_
_atom_site_label
_atom_site_fract_x
_atom_site_fract_y
_atom_site_fract_z
Na1 0.401 0.397 0.804
Na2 0.798 0.804 0.603
Na3 0.204 0.196 0.397
Na4 0.602 0.603 0.196
Pd1 0.001 0.000 0.000
Cl1 0.907 0.386 0.802
Cl2 0.293 0.802 0.614
Cl3 0.709 0.198 0.386
Cl4 0.095 0.614 0.198
Cl5 0.501 0.000 0.000
```



[9]
This record from the Alexandria database describes an optimized crystal structure of NaPdCl2. The functional is GGA-PBE.

Calculated values
SG	I-42d (122)
offset from the most stable computed form	5	meV per atom

```
data_NaPdCl2
_space_group_name_H-M_alt 'P 1'
_space_group_IT_number 1
_cell_length_a 5.569
_cell_length_b 5.569
_cell_length_c 7.890
_cell_angle_alpha 69.33
_cell_angle_beta 69.33
_cell_angle_gamma 90.00
loop_
_space_group_symop_operation_xyz
'x,y,z'
loop_
_atom_site_label
_atom_site_fract_x
_atom_site_fract_y
_atom_site_fract_z
Na1 0.500 0.500 0.000
Na2 0.250 0.750 0.500
Pd1 0.000 0.000 0.000
Pd2 0.750 0.250 0.500
Cl1 0.662 0.125 0.250
Cl2 0.088 0.625 0.250
Cl3 0.375 0.338 0.750
Cl4 0.875 0.912 0.750
```



[10]
This record from the Alexandria database describes an optimized crystal structure of NaPdCl2. The functional is GGA-PBE.

Calculated values
SG	R-3m (166)
offset from the most stable computed form	0	meV per atom

```
data_NaPdCl2
_space_group_name_H-M_alt 'P 1'
_space_group_IT_number 1
_cell_length_a 8.100
_cell_length_b 8.100
_cell_length_c 8.100
_cell_angle_alpha 27.52
_cell_angle_beta 27.52
_cell_angle_gamma 27.52
loop_
_space_group_symop_operation_xyz
'x,y,z'
loop_
_atom_site_label
_atom_site_fract_x
_atom_site_fract_y
_atom_site_fract_z
Na1 0.500 0.500 0.500
Pd1 0.000 0.000 0.000
Cl1 0.901 0.901 0.901
Cl2 0.099 0.099 0.099
```



[11]
This record from the Alexandria database describes an optimized crystal structure of Na5PdCl8. The functional is GGA-PBE.

Calculated values
SG	F-43m (216)

```
data_Na5PdCl8
_space_group_name_H-M_alt 'P 1'
_space_group_IT_number 1
_cell_length_a 8.226
_cell_length_b 8.226
_cell_length_c 8.226
_cell_angle_alpha 60.00
_cell_angle_beta 60.00
_cell_angle_gamma 60.00
loop_
_space_group_symop_operation_xyz
'x,y,z'
loop_
_atom_site_label
_atom_site_fract_x
_atom_site_fract_y
_atom_site_fract_z
Na1 0.000 0.000 0.000
Na2 0.637 0.637 0.088
Na3 0.637 0.637 0.637
Na4 0.088 0.637 0.637
Na5 0.637 0.088 0.637
Pd1 0.250 0.250 0.250
Cl1 0.367 0.898 0.367
Cl2 0.898 0.367 0.367
Cl3 0.367 0.367 0.367
Cl4 0.367 0.367 0.898
Cl5 0.869 0.869 0.394
Cl6 0.394 0.869 0.869
Cl7 0.869 0.869 0.869
Cl8 0.869 0.394 0.869
```



[12]
This record from the Alexandria database describes an optimized crystal structure of NaPdCl2. The functional is GGA-PBE.

Calculated values
SG	R-3m (166)
offset from the most stable computed form	252	meV per atom

```
data_NaPdCl2
_space_group_name_H-M_alt 'P 1'
_space_group_IT_number 1
_cell_length_a 7.805
_cell_length_b 7.805
_cell_length_c 7.805
_cell_angle_alpha 31.12
_cell_angle_beta 31.12
_cell_angle_gamma 31.12
loop_
_space_group_symop_operation_xyz
'x,y,z'
loop_
_atom_site_label
_atom_site_fract_x
_atom_site_fract_y
_atom_site_fract_z
Na1 0.000 0.000 0.000
Pd1 0.500 0.500 0.500
Cl1 0.888 0.888 0.888
Cl2 0.112 0.112 0.112
```



Number 1: total magnetic moment 0.00 μB/f.u., formation energy from raw total energies -0.813 eV per atom, raw total energy -31.175 eV/cell. Number 2: total magnetic moment 0.94 μB/f.u., formation energy from raw total energies -0.579 eV per atom, raw total energy -44.443 eV/cell. Number 3: total magnetic moment 0.00 μB/f.u., formation energy from raw total energies -0.687 eV per atom, raw total energy -14.959 eV/cell. Number 4: total magnetic moment 3.02 μB/f.u., formation energy from raw total energies -0.745 eV per atom, raw total energy -34.149 eV/cell. Number 5: total magnetic moment 1.02 μB/f.u., formation energy from raw total energies -0.849 eV per atom, raw total energy -70.572 eV/cell. Number 6: total magnetic moment 0.00 μB/f.u., formation energy from raw total energies -1.214 eV per atom, raw total energy -23.719 eV/cell. Number 7: total magnetic moment 0.00 μB/f.u., formation energy from raw total energies 0.121 eV per atom, raw total energy -18.137 eV/cell. Number 8: total magnetic moment 1.01 μB/f.u., formation energy from raw total energies -1.404 eV per atom, raw total energy -33.746 eV/cell. Number 9: total magnetic moment 1.00 μB/f.u., formation energy from raw total energies -0.777 eV per atom, raw total energy -26.626 eV/cell. Number 10: total magnetic moment 0.00 μB/f.u., formation energy from raw total energies -0.782 eV per atom, raw total energy -13.333 eV/cell. Number 11: total magnetic moment 3.24 μB/f.u., formation energy from raw total energies -1.226 eV per atom, raw total energy -43.721 eV/cell. Number 12: total magnetic moment 1.00 μB/f.u., formation energy from raw total energies -0.530 eV per atom, raw total energy -12.327 eV/cell.